First-principles (GGA-PBE) data for crystalline GeSbMo2 at its relaxed geometry, as listed in the Alexandria database.

The calculation puts the formation energy from raw total energies at 529 meV per atom. The calculation puts the distance to the lowest polymorph of the same formula at 301 meV per atom.

It has space group I-42d (No. 122), with a = 4.1143 Å, b = 4.1143 Å, c = 18.5789 Å, α = 90.00°, β = 90.00° and γ = 90.00°. Symmetry generates all atoms from Ge at (0.0000, 0.0000, 0.0000), Sb at (0.0000, 0.0000, 0.5000) and Mo at (0.1830, 0.2500, 0.1250).


First-principles (GGA-PBE) data for crystalline GeSb3Mo at its relaxed geometry, as listed in the Alexandria database.

The calculation puts the formation energy from raw total energies at 1263 meV per atom. The calculation puts the distance to the lowest polymorph of the same formula at 589 meV per atom.

It has space group Pm-3m (No. 221), with a = 5.2552 Å, b = 5.2552 Å, c = 5.2552 Å, α = 90.00°, β = 90.00° and γ = 90.00°. Symmetry generates all atoms from Ge at (0.0000, 0.0000, 0.0000), Sb at (0.0000, 0.0000, 0.5000) and Mo at (0.5000, 0.5000, 0.5000).


First-principles (GGA-PBE) data for crystalline GeSbMo at its relaxed geometry, as listed in the Alexandria database.

The calculation puts the formation energy from raw total energies at 359 meV per atom.

It has space group C2/c (No. 15), with a = 5.8757 Å, b = 7.7801 Å, c = 5.8453 Å, α = 90.00°, β = 119.99° and γ = 90.00°. Symmetry generates all atoms from Ge at (0.0000, 0.0443, 0.2500), Sb at (0.0000, 0.4277, 0.2500) and Mo at (0.2500, 0.2500, 0.0000).


First-principles (GGA-PBE) data for crystalline GeSb3Mo at its relaxed geometry, as listed in the Alexandria database.

The calculation puts the formation energy from raw total energies at 674 meV per atom. The calculation puts the distance to the lowest polymorph of the same formula at 0 meV per atom.

It has space group Pm-3m (No. 221), with a = 5.2380 Å, b = 5.2380 Å, c = 5.2380 Å, α = 90.00°, β = 90.00° and γ = 90.00°. Symmetry generates all atoms from Ge at (0.0000, 0.0000, 0.0000), Sb at (0.0000, 0.5000, 0.5000) and Mo at (0.5000, 0.5000, 0.5000).


First-principles (GGA-PBE) data for crystalline GeSbMo2 at its relaxed geometry, as listed in the Alexandria database.

The calculation puts the formation energy from raw total energies at 228 meV per atom. The calculation puts the distance to the lowest polymorph of the same formula at 0 meV per atom.

It has space group Fm-3m (No. 225), with a = 6.4682 Å, b = 6.4682 Å, c = 6.4682 Å, α = 90.00°, β = 90.00° and γ = 90.00°. Symmetry generates all atoms from Ge at (0.0000, 0.0000, 0.0000), Sb at (0.0000, 0.0000, 0.5000) and Mo at (0.2500, 0.2500, 0.2500).


First-principles (GGA-PBE) data for crystalline GeSb2TeMo at its relaxed geometry, as listed in the Alexandria database.

The calculation puts the formation energy from raw total energies at 684 meV per atom. The calculation puts the distance to the lowest polymorph of the same formula at 0 meV per atom.

It has space group P4/mmm (No. 123), with a = 5.2749 Å, b = 5.2749 Å, c = 5.2261 Å, α = 90.00°, β = 90.00° and γ = 90.00°. Symmetry generates all atoms from Ge at (0.0000, 0.0000, 0.0000), Sb at (0.0000, 0.5000, 0.5000), Te at (0.5000, 0.5000, 0.0000) and Mo at (0.5000, 0.5000, 0.5000).


First-principles (GGA-PBE) data for crystalline GeSb2TeMo at its relaxed geometry, as listed in the Alexandria database.

The calculation puts the formation energy from raw total energies at 1205 meV per atom. The calculation puts the distance to the lowest polymorph of the same formula at 521 meV per atom.

It has space group P4/mmm (No. 123), with a = 5.2710 Å, b = 5.2710 Å, c = 5.3158 Å, α = 90.00°, β = 90.00° and γ = 90.00°. Symmetry generates all atoms from Ge at (0.0000, 0.0000, 0.0000), Sb at (0.0000, 0.5000, 0.0000), Te at (0.0000, 0.0000, 0.5000) and Mo at (0.5000, 0.5000, 0.5000).


First-principles (GGA-PBE) data for crystalline GeSb2MoW at its relaxed geometry, as listed in the Alexandria database.

The calculation puts the formation energy from raw total energies at 1225 meV per atom.

It has space group P4/mmm (No. 123), with a = 5.2713 Å, b = 5.2713 Å, c = 4.8565 Å, α = 90.00°, β = 90.00° and γ = 90.00°. Symmetry generates all atoms from Ge at (0.0000, 0.0000, 0.0000), Sb at (0.0000, 0.5000, 0.5000), Mo at (0.5000, 0.5000, 0.0000) and W at (0.0000, 0.0000, 0.5000).


One value per record, in order, for density of states at the Fermi level: 3.6, 3.9, 1.9, 4.2, 7.8, 4.7, 4.0, 2.5 states/eV/f.u..